Record 1
Compound: SmAsF
Source: Alexandria
Functional: PBE
Structure: relaxed

```
data_SmAsF
_space_group_name_H-M_alt 'P -1'
_space_group_IT_number 2
_cell_length_a 4.1633
_cell_length_b 4.9371
_cell_length_c 7.1844
_cell_angle_alpha 70.22
_cell_angle_beta 89.77
_cell_angle_gamma 89.87
loop_
_space_group_symop_operation_xyz
'x,y,z'
'-x,-y,-z'
loop_
_atom_site_label
_atom_site_fract_x
_atom_site_fract_y
_atom_site_fract_z
Sm1 0.0012 0.1617 0.2373
As1 0.4988 0.2305 0.5469
F1 0.0027 0.6889 0.1007
```

Calculated values
Total moment = 0.00 Bohr magnetons per cell
Total energy = -5.878 eV/atom
Energy relative to the elements, uncorrected = -2.131 eV per atom
N(E_F) = 0.2534 states/eV/atom

---

Record 2
Compound: Zr4AlCd
Source: Alexandria
Functional: PBE
Structure: relaxed

```
data_Zr4AlCd
_space_group_name_H-M_alt 'R -3 m'
_space_group_IT_number 166
_space_group_name_Hall '-R 3 2"'
_cell_length_a 4.6694
_cell_length_b 4.6694
_cell_length_c 23.3618
_cell_angle_alpha 90.00
_cell_angle_beta 90.00
_cell_angle_gamma 120.00
loop_
_atom_site_label
_atom_site_fract_x
_atom_site_fract_y
_atom_site_fract_z
Zr1 0.0000 0.0000 0.1197
Zr2 0.0000 0.0000 0.3719
Al1 0.0000 0.0000 0.0000
Cd1 0.0000 0.0000 0.5000
```

Calculated values
Total moment = 0.00 Bohr magnetons per cell
Total energy = -6.196 eV/atom
N(E_F) = 1.2501 states/eV/atom
Energy relative to the elements = 279 meV/atom

---

Record 3
Compound: Ti7In2C2
Source: Alexandria
Functional: PBE
Structure: relaxed

```
data_Ti7In2C2
_space_group_name_H-M_alt 'C 1 2/m 1'
_space_group_IT_number 12
_cell_length_a 6.3262
_cell_length_b 9.3125
_cell_length_c 7.4551
_cell_angle_alpha 90.00
_cell_angle_beta 100.73
_cell_angle_gamma 90.00
loop_
_space_group_symop_operation_xyz
'x,y,z'
'-x,-y,-z'
'-x,y,-z'
'x,-y,z'
'x+1/2,y+1/2,z'
'-x+1/2,-y+1/2,-z'
'-x+1/2,y+1/2,-z'
'x+1/2,-y+1/2,z'
loop_
_atom_site_label
_atom_site_fract_x
_atom_site_fract_y
_atom_site_fract_z
Ti1 0.0000 0.0000 0.0000
Ti2 0.0938 0.5000 0.8355
Ti3 0.2000 0.2865 0.1615
In1 0.0000 0.3171 0.5000
C1 0.2227 0.5000 0.1187
```

Calculated values
Total moment = 0.83 Bohr magnetons per cell
Total energy = -7.142 eV/atom
N(E_F) = 1.2566 states/eV/atom
Energy relative to the elements = 57 meV/atom

---

Record 4
Compound: Pm4SmAl5
Source: Alexandria
Functional: PBE
Structure: relaxed

```
data_Pm4SmAl5
_space_group_name_H-M_alt 'P 4/m m m'
_space_group_IT_number 123
_space_group_name_Hall '-P 4 2'
_cell_length_a 3.6976
_cell_length_b 3.6976
_cell_length_c 18.4459
_cell_angle_alpha 90.00
_cell_angle_beta 90.00
_cell_angle_gamma 90.00
loop_
_atom_site_label
_atom_site_fract_x
_atom_site_fract_y
_atom_site_fract_z
Pm1 0.0000 0.0000 0.1003
Pm2 0.0000 0.0000 0.3009
Sm1 0.0000 0.0000 0.5000
Al1 0.5000 0.5000 0.0000
Al2 0.5000 0.5000 0.2006
Al3 0.5000 0.5000 0.4014
```

Calculated values
Total moment = 0.00 Bohr magnetons per cell
Total energy = -4.613 eV/atom
N(E_F) = 0.3221 states/eV/atom
Energy relative to the elements = -370 meV/atom

---

Record 5
Compound: Sc2Ag3
Source: Alexandria
Functional: PBE
Structure: relaxed

```
data_Sc2Ag3
_space_group_name_H-M_alt 'P -3 m 1'
_space_group_IT_number 164
_space_group_name_Hall '-P 3 2"'
_cell_length_a 4.7027
_cell_length_b 4.7027
_cell_length_c 5.8617
_cell_angle_alpha 90.00
_cell_angle_beta 90.00
_cell_angle_gamma 120.00
loop_
_atom_site_label
_atom_site_fract_x
_atom_site_fract_y
_atom_site_fract_z
Sc1 0.3333 0.6667 0.3206
Ag1 0.0000 0.0000 0.5000
Ag2 0.3333 0.6667 0.8283
```

Calculated values
Total moment = 0.00 Bohr magnetons per cell
Total energy = -4.233 eV/atom
N(E_F) = 0.7632 states/eV/atom
Energy relative to the elements = 11 meV/atom

---

Record 6
Compound: DyRe3Tc3
Source: Alexandria
Functional: PBE
Structure: relaxed

```
data_DyRe3Tc3
_space_group_name_H-M_alt 'P m -3 n'
_space_group_IT_number 223
_space_group_name_Hall '-P 4n 2 3'
_cell_length_a 6.8249
_cell_length_b 6.8249
_cell_length_c 6.8249
_cell_angle_alpha 90.00
_cell_angle_beta 90.00
_cell_angle_gamma 90.00
loop_
_atom_site_label
_atom_site_fract_x
_atom_site_fract_y
_atom_site_fract_z
Dy1 0.0000 0.0000 0.0000
Re1 0.0000 0.2500 0.5000
Tc1 0.0000 0.5000 0.2500
```

Calculated values
Total moment = 0.00 Bohr magnetons per cell
Total energy = -9.451 eV/atom
N(E_F) = 0.5869 states/eV/atom
Energy relative to the elements = 984 meV/atom

---

> Look up the N(E_F) of the second one.

1.2501 states/eV/atom